# 1
This record from Alexandria describes a relaxed structure of LiGaSi2O6. The functional is GGA-PBEsol.

Calculated values
As for the raw formation energy: -2514 meV/atom. As for the density of states at the Fermi level: 0.00 states/eV/f.u. The spin magnetization comes out at 0.0000 μB/atom.

Structure (CIF):
```
data_LiGaSi2O6
_chemical_formula_sum 'Li4 Ga4 Si8 O24'
_cell_length_a 9.596
_cell_length_b 8.582
_cell_length_c 5.289
_cell_angle_alpha 90.00
_cell_angle_beta 110.34
_cell_angle_gamma 90.00
_symmetry_space_group_name_H-M 'C 1 2/c 1'
_symmetry_Int_Tables_number 15
loop_
_symmetry_equiv_pos_as_xyz
'x,y,z'
'-x,-y,-z'
'-x,y,-z+1/2'
'x,-y,z+1/2'
'x+1/2,y+1/2,z'
'-x+1/2,-y+1/2,-z'
'-x+1/2,y+1/2,-z+1/2'
'x+1/2,-y+1/2,z+1/2'
loop_
_atom_site_label
_atom_site_type_symbol
_atom_site_fract_x
_atom_site_fract_y
_atom_site_fract_z
Li1 Li 0.000 0.240 0.250
Ga1 Ga 0.000 0.402 0.750
Si1 Si 0.203 0.092 0.738
O1 O 0.113 0.415 0.145
O2 O 0.134 0.264 0.672
O3 O 0.143 0.001 0.950
```

# 2
This record from Alexandria describes a relaxed structure of LiGaSi2O6. The functional is GGA-PBEsol.

Calculated values
As for the raw formation energy: -2515 meV/atom. As for the density of states at the Fermi level: 0.00 states/eV/f.u. The spin magnetization comes out at 0.0000 μB/atom.

Structure (CIF):
```
data_LiGaSi2O6
_chemical_formula_sum 'Li4 Ga4 Si8 O24'
_cell_length_a 9.189
_cell_length_b 8.605
_cell_length_c 5.231
_cell_angle_alpha 90.00
_cell_angle_beta 102.47
_cell_angle_gamma 90.00
_symmetry_space_group_name_H-M 'P 1 21/c 1'
_symmetry_Int_Tables_number 14
loop_
_symmetry_equiv_pos_as_xyz
'x,y,z'
'-x,-y,-z'
'-x,y+1/2,-z+1/2'
'x,-y+1/2,z+1/2'
loop_
_atom_site_label
_atom_site_type_symbol
_atom_site_fract_x
_atom_site_fract_y
_atom_site_fract_z
Li1 Li 0.249 0.008 0.479
Ga1 Ga 0.249 0.650 0.478
Si1 Si 0.051 0.161 0.808
Si2 Si 0.452 0.159 0.230
O1 O 0.107 0.212 0.116
O2 O 0.125 0.503 0.261
O3 O 0.134 0.667 0.758
O4 O 0.364 0.668 0.199
O5 O 0.385 0.514 0.693
O6 O 0.390 0.229 0.477
```

# 3
This record from Alexandria describes a relaxed structure of Li2Ti3Ga3O12. The functional is GGA-PBEsol.

Calculated values
As for the raw formation energy: -2337 meV/atom. As for the density of states at the Fermi level: 12.93 states/eV/f.u. The spin magnetization comes out at 0.0353 μB/atom.

Structure (CIF):
```
data_Li2Ti3Ga3O12
_chemical_formula_sum 'Li8 Ti12 Ga12 O48'
_cell_length_a 10.158
_cell_length_b 17.819
_cell_length_c 5.909
_cell_angle_alpha 90.00
_cell_angle_beta 125.56
_cell_angle_gamma 90.00
_symmetry_space_group_name_H-M 'C 1 2/m 1'
_symmetry_Int_Tables_number 12
loop_
_symmetry_equiv_pos_as_xyz
'x,y,z'
'-x,-y,-z'
'-x,y,-z'
'x,-y,z'
'x+1/2,y+1/2,z'
'-x+1/2,-y+1/2,-z'
'-x+1/2,y+1/2,-z'
'x+1/2,-y+1/2,z'
loop_
_atom_site_label
_atom_site_type_symbol
_atom_site_fract_x
_atom_site_fract_y
_atom_site_fract_z
Li1 Li 0.000 0.000 0.000
Li2 Li 0.000 0.000 0.500
Li3 Li 0.250 0.250 0.000
Ti1 Ti 0.000 0.335 0.000
Ti2 Ti 0.244 0.079 0.996
Ga1 Ga 0.000 0.326 0.500
Ga2 Ga 0.131 0.166 0.376
O1 O 0.008 0.254 0.252
O2 O 0.015 0.088 0.768
O3 O 0.024 0.399 0.776
O4 O 0.238 0.000 0.198
O5 O 0.239 0.335 0.749
O6 O 0.240 0.000 0.783
O7 O 0.241 0.337 0.237
```